1.
! PBE ZrCdAs, optimized geometry; values from VASP
! * polymorph energy (0 for the lowest one): 298 meV per atom
! * space group: I4mm (107)
! * E_form: -0.32 eV/atom
! * M_tot: 0.0 μB per cell
! * total DFT energy (no corrections): -15.059 eV/cell
&SYSTEM
  ibrav = 0, nat = 3, ntyp = 3
/
ATOMIC_SPECIES
Zr 91.22 Zr.upf
Cd 112.41 Cd.upf
As 74.92 As.upf
CELL_PARAMETERS angstrom
-1.751 1.751 5.422
1.751 -1.751 5.422
1.751 1.751 -5.422
ATOMIC_POSITIONS angstrom
Zr 0.000 0.000 0.000
Cd 0.000 0.000 7.625
As 0.000 0.000 4.302



2.
! PBE TiPd2Pb, optimized geometry; values from VASP
! * space group: P4/mmm (123)
! * E_form: -0.24 eV/atom
! * M_tot: 0.1 μB per cell
! * total DFT energy (no corrections): -22.969 eV/cell
&SYSTEM
  ibrav = 0, nat = 4, ntyp = 3
/
ATOMIC_SPECIES
Ti 47.87 Ti.upf
Pd 106.42 Pd.upf
Pb 207.20 Pb.upf
CELL_PARAMETERS angstrom
4.163 0.000 0.000
0.000 4.163 0.000
0.000 0.000 4.103
ATOMIC_POSITIONS angstrom
Ti 0.000 0.000 0.000
Pd 0.000 2.082 2.051
Pd 2.082 0.000 2.051
Pb 2.082 2.082 0.000



3.
! PBE CsRh2W, optimized geometry; values from VASP
! * polymorph energy (0 for the lowest one): 0 meV per atom
! * space group: I-42d (122)
! * E_form: 1.05 eV/atom
! * M_tot: 0.0 μB per cell
! * total DFT energy (no corrections): -48.636 eV/cell
&SYSTEM
  ibrav = 0, nat = 8, ntyp = 3
/
ATOMIC_SPECIES
Cs 132.91 Cs.upf
Rh 102.91 Rh.upf
W 183.84 W.upf
CELL_PARAMETERS angstrom
-3.699 3.699 3.882
3.699 -3.699 3.882
3.699 3.699 -3.882
ATOMIC_POSITIONS angstrom
Cs 0.000 0.000 0.000
Cs 0.000 3.699 1.941
Rh 1.850 -1.201 2.912
Rh 2.499 1.850 0.971
Rh 1.850 4.900 -0.971
Rh 1.201 1.850 4.853
W 3.699 0.000 1.941
W 0.000 0.000 3.882



4.
! PBE Be2HgRh, optimized geometry; values from VASP
! * space group: Cm (8)
! * E_form: -0.02 eV/atom
! * M_tot: 0.0 μB per cell
! * total DFT energy (no corrections): -15.179 eV/cell
&SYSTEM
  ibrav = 0, nat = 4, ntyp = 3
/
ATOMIC_SPECIES
Be 9.01 Be.upf
Hg 200.59 Hg.upf
Rh 102.91 Rh.upf
CELL_PARAMETERS angstrom
4.397 -1.474 0.000
4.397 1.474 0.000
-1.216 0.000 3.973
ATOMIC_POSITIONS angstrom
Be 0.000 0.000 0.000
Be 6.143 0.000 1.228
Hg 3.775 0.000 2.005
Rh 1.328 0.000 3.471